A:
{
  "formula": "RbTaTl",
  "functional": "GGA-PBE",
  "state": "relaxed",
  "magnetic_moment_mub_per_atom": 1.411,
  "sg": "F-43m (216)",
  "lattice_angstrom": [[0.000, 3.965, 3.965], [3.965, 0.000, 3.965], [3.965, 3.965, 0.000]],
  "species": ["Rb", "Ta", "Tl"],
  "fractional_positions": [[0.000, 0.000, 0.000], [0.750, 0.750, 0.750], [0.250, 0.250, 0.250]]
}

=====

B:
{
  "formula": "RbTaTl",
  "functional": "GGA-PBE",
  "state": "relaxed",
  "magnetic_moment_mub_per_atom": 0.333,
  "sg": "F-43m (216)",
  "lattice_angstrom": [[0.000, 3.607, 3.607], [3.607, 0.000, 3.607], [3.607, 3.607, 0.000]],
  "species": ["Rb", "Ta", "Tl"],
  "fractional_positions": [[0.000, 0.000, 0.000], [0.250, 0.250, 0.250], [0.500, 0.500, 0.500]]
}

=====

Energetically preferred structure: B | next structure: +459 meV/atom

=====

A:
{
  "formula": "RbTaW",
  "functional": "GGA-PBE",
  "state": "relaxed",
  "magnetic_moment_mub_per_atom": 0.301,
  "sg": "F-43m (216)",
  "lattice_angstrom": [[0.000, 3.299, 3.299], [3.299, 0.000, 3.299], [3.299, 3.299, 0.000]],
  "species": ["Rb", "Ta", "W"],
  "fractional_positions": [[0.000, 0.000, 0.000], [0.750, 0.750, 0.750], [0.250, 0.250, 0.250]]
}

=====

B:
{
  "formula": "RbTaW",
  "functional": "GGA-PBE",
  "state": "relaxed",
  "magnetic_moment_mub_per_atom": 0.000,
  "sg": "F-43m (216)",
  "lattice_angstrom": [[0.000, 3.335, 3.335], [3.335, 0.000, 3.335], [3.335, 3.335, 0.000]],
  "species": ["Rb", "Ta", "W"],
  "fractional_positions": [[0.000, 0.000, 0.000], [0.500, 0.500, 0.500], [0.250, 0.250, 0.250]]
}

=====

Energetically preferred structure: B | next structure: +1324 meV/atom

=====

A:
{
  "formula": "RbYTa",
  "functional": "GGA-PBE",
  "state": "relaxed",
  "magnetic_moment_mub_per_atom": 0.366,
  "sg": "F-43m (216)",
  "lattice_angstrom": [[0.000, 3.639, 3.639], [3.639, 0.000, 3.639], [3.639, 3.639, 0.000]],
  "species": ["Rb", "Y", "Ta"],
  "fractional_positions": [[0.000, 0.000, 0.000], [0.250, 0.250, 0.250], [0.750, 0.750, 0.750]]
}

=====

B:
{
  "formula": "RbYTa",
  "functional": "GGA-PBE",
  "state": "relaxed",
  "magnetic_moment_mub_per_atom": 1.639,
  "sg": "F-43m (216)",
  "lattice_angstrom": [[0.000, 3.909, 3.909], [3.909, 0.000, 3.909], [3.909, 3.909, 0.000]],
  "species": ["Rb", "Y", "Ta"],
  "fractional_positions": [[0.000, 0.000, 0.000], [0.500, 0.500, 0.500], [0.250, 0.250, 0.250]]
}

=====

Energetically preferred structure: B | next structure: +503 meV/atom